# 1
The following is a PBE calculation of crystalline Sc2TlNiPt at its relaxed geometry, from Alexandria.

```
Sc2TlNiPt
1.0
4.9949 0.0000 0.0000
0.0000 4.7816 0.0000
0.0000 0.0000 4.9949
Tl Pt Sc Ni
1 1 2 1
Direct
0.5000 0.5000 0.5000 Tl
0.0000 0.0000 0.0000 Pt
0.0000 0.0000 0.5000 Sc
0.5000 0.0000 0.0000 Sc
0.0000 0.5000 0.0000 Ni
```

- E_form (meV per atom) = -77



# 2
The following is a PBE calculation of crystalline ScTlNiPt at its relaxed geometry, from Alexandria.

```
ScTlNiPt
1.0
4.6143 0.0000 0.0000
2.3072 3.9961 0.0000
2.3072 1.3320 3.7676
Tl Ni Pt Sc
1 1 1 1
Direct
0.0000 0.0000 0.0000 Tl
0.2500 0.2500 0.2500 Ni
0.7500 0.7500 0.7500 Pt
0.5000 0.5000 0.5000 Sc
```

- E_form (meV per atom) = -454



# 3
The following is a PBE calculation of crystalline Sc2ZnNiPt2 at its relaxed geometry, from Alexandria.

```
Sc2ZnNiPt2
1.0
-4.1889 2.4604 -2.3858
-3.4264 -2.9370 2.9872
3.8897 5.1807 4.6525
Ni Pt Sc Zn
2 4 4 2
Direct
0.5000 0.2500 0.0000 Ni
0.5000 0.7500 0.0000 Ni
0.3831 0.1288 0.2576 Pt
0.8744 0.6288 0.2576 Pt
0.1256 0.3712 0.7424 Pt
0.6169 0.8712 0.7424 Pt
0.9297 0.1753 0.3505 Sc
0.5792 0.3247 0.6495 Sc
0.4208 0.6753 0.3505 Sc
0.0703 0.8247 0.6495 Sc
0.0000 0.2500 0.0000 Zn
0.0000 0.7500 0.0000 Zn
```

- E_form (meV per atom) = -842



# 4
The following is a PBE calculation of crystalline Sc4ZnNiPt2 at its relaxed geometry, from Alexandria.

```
Sc4ZnNiPt2
1.0
4.6393 0.0000 0.0000
2.3197 4.0178 0.0000
2.3197 1.3393 7.5887
Sc Ni Zn Pt
4 1 1 2
Direct
0.6214 0.6214 0.1357 Sc
0.1281 0.1281 0.6157 Sc
0.8719 0.8719 0.3843 Sc
0.3786 0.3786 0.8643 Sc
0.5000 0.5000 0.5000 Ni
0.0000 0.0000 0.0000 Zn
0.7487 0.7487 0.7538 Pt
0.2513 0.2513 0.2462 Pt
```

- E_form (meV per atom) = -861



# 5
The following is a PBE calculation of crystalline ZrScNiPt at its relaxed geometry, from Alexandria.

```
ZrScNiPt
1.0
4.6269 0.0000 0.0000
2.3135 4.0070 0.0000
2.3135 1.3357 3.7779
Ni Pt Zr Sc
1 1 1 1
Direct
0.7500 0.7500 0.7500 Ni
0.2500 0.2500 0.2500 Pt
0.0000 0.0000 0.0000 Zr
0.5000 0.5000 0.5000 Sc
```

- E_form (meV per atom) = -770



# 6
The following is a PBE calculation of crystalline NiPtSe4 at its relaxed geometry, from Alexandria.

```
NiPtSe4
1.0
3.7062 0.0000 0.0000
0.0000 5.0628 0.4389
0.0000 -0.5480 6.3906
Pt Ni Se
1 1 4
Direct
0.5000 0.0000 0.5000 Pt
0.0000 0.0000 0.0000 Ni
0.5000 0.2387 0.8447 Se
0.0000 0.7445 0.6765 Se
0.0000 0.2555 0.3235 Se
0.5000 0.7613 0.1553 Se
```

- relative energy among the computed polymorphs (eV per atom) = 0.000
- raw formation energy (meV/atom) = -314



# 7
The following is a PBE calculation of crystalline Ni3PtSe8 at its relaxed geometry, from Alexandria.

```
Ni3PtSe8
1.0
-4.9531 -1.9087 5.0770
6.3387 -3.5375 -0.4592
0.5679 5.6006 2.6596
Pt Se Ni
1 8 3
Direct
0.0000 0.0000 0.0000 Pt
0.7769 0.5538 0.7733 Se
0.2231 0.4462 0.2267 Se
0.7142 0.4284 0.2166 Se
0.2206 0.9241 0.2214 Se
0.2858 0.5716 0.7834 Se
0.7794 0.0759 0.7786 Se
0.2965 0.0759 0.7786 Se
0.7035 0.9241 0.2214 Se
0.5000 0.0000 0.0000 Ni
0.0000 0.5000 0.0000 Ni
0.5000 0.5000 0.0000 Ni
```

- raw formation energy (meV/atom) = -274



# 8
The following is a PBE calculation of crystalline Ni2PtSe at its relaxed geometry, from Alexandria.

```
Ni2PtSe
1.0
4.4168 0.0061 0.0047
3.3928 2.8279 0.0047
0.7712 0.2799 4.4818
Ni Se Pt
2 1 1
Direct
0.9987 0.9987 0.9935 Ni
0.2541 0.2541 0.2129 Ni
0.7428 0.7428 0.8119 Se
0.5044 0.5044 0.4817 Pt
```

- raw formation energy (meV/atom) = 64



# 9
The following is a PBE calculation of crystalline Ni2PtSe at its relaxed geometry, from Alexandria.

```
Ni2PtSe
1.0
8.5273 0.0605 0.0357
8.0412 2.8387 0.0357
8.0412 1.4071 2.4657
Ni Pt Se
2 1 1
Direct
0.9992 0.9992 0.9992 Ni
0.2571 0.2571 0.2571 Ni
0.5083 0.5083 0.5083 Pt
0.7354 0.7354 0.7354 Se
```

- raw formation energy (meV/atom) = 192



# 10
The following is a PBE calculation of crystalline NiPt5Se12 at its relaxed geometry, from Alexandria.

```
NiPt5Se12
1.0
6.4499 0.0000 0.0223
3.2249 5.5941 0.0111
0.0388 0.0000 12.4875
Pt Se Ni
5 12 1
Direct
0.1667 0.6667 0.5000 Pt
0.3333 0.3333 0.0000 Pt
0.6667 0.6667 0.0000 Pt
0.5000 0.0000 0.5000 Pt
0.8333 0.3334 0.5000 Pt
0.5015 0.6666 0.3937 Se
0.4985 0.3334 0.6063 Se
0.8319 0.6666 0.6063 Se
0.6809 0.0000 0.8986 Se
0.9989 0.6793 0.1014 Se
0.6782 0.3207 0.1014 Se
0.1653 0.0000 0.6061 Se
0.0011 0.3207 0.8986 Se
0.8347 0.0000 0.3939 Se
0.1681 0.3334 0.3937 Se
0.3218 0.6793 0.8986 Se
0.3191 0.0000 0.1014 Se
0.0000 0.0000 0.0000 Ni
```

- raw formation energy (meV/atom) = -367



# 11
The following is a PBE calculation of crystalline NiPtSe4 at its relaxed geometry, from Alexandria.

```
NiPtSe4
1.0
4.0290 -3.1796 -2.0275
-1.1770 -5.0098 -1.9923
0.2976 -0.9507 -5.4278
Se Pt Ni
4 1 1
Direct
0.3742 0.8773 0.3742 Se
0.3742 0.3742 0.3742 Se
0.8773 0.3742 0.3742 Se
0.3742 0.3742 0.8773 Se
0.0000 0.0000 0.0000 Pt
0.7500 0.7500 0.7500 Ni
```

- relative energy among the computed polymorphs (eV per atom) = 1.374
- raw formation energy (meV/atom) = 1061



# 12
The following is a PBE calculation of crystalline NiPt4Se at its relaxed geometry, from Alexandria.

```
NiPt4Se
1.0
-0.7844 -4.4522 -2.7070
-1.3852 -4.4110 2.5277
-4.8733 -1.9287 -0.5442
Pt Ni Se
4 1 1
Direct
0.8755 0.3748 0.3748 Pt
0.3748 0.3748 0.3748 Pt
0.3748 0.8755 0.3748 Pt
0.3748 0.3748 0.8755 Pt
0.0000 0.0000 0.0000 Ni
0.7500 0.7500 0.7500 Se
```

- raw formation energy (meV/atom) = 465



# 13
The following is a PBE calculation of crystalline NiPt2Se6 at its relaxed geometry, from Alexandria.

```
NiPt2Se6
1.0
5.7253 0.0000 0.0000
0.0000 5.7253 0.0000
0.0000 0.0000 11.7354
Pt Se Ni
4 12 2
Direct
0.0000 0.0000 0.8343 Pt
0.5000 0.5000 0.3343 Pt
0.5000 0.5000 0.6657 Pt
0.0000 0.0000 0.1657 Pt
0.2998 0.2998 0.5000 Se
0.6860 0.6860 0.8402 Se
0.3140 0.3140 0.8402 Se
0.1860 0.8140 0.3402 Se
0.1860 0.8140 0.6598 Se
0.8140 0.1860 0.3402 Se
0.7002 0.7002 0.5000 Se
0.3140 0.3140 0.1598 Se
0.6860 0.6860 0.1598 Se
0.2002 0.7998 0.0000 Se
0.8140 0.1860 0.6598 Se
0.7998 0.2002 0.0000 Se
0.0000 0.0000 0.5000 Ni
0.5000 0.5000 0.0000 Ni
```

- relative energy among the computed polymorphs (eV per atom) = 0.262
- raw formation energy (meV/atom) = -74



# 14
The following is a PBE calculation of crystalline NiPtSe at its relaxed geometry, from Alexandria.

```
NiPtSe
1.0
-1.8619 0.7431 3.0755
-1.8074 -0.6376 -3.1312
-0.1287 -4.0074 0.8903
Pt Se Ni
1 1 1
Direct
0.6667 0.3333 0.3238 Pt
0.3333 0.6667 0.6959 Se
0.0000 0.0000 0.9804 Ni
```

- relative energy among the computed polymorphs (eV per atom) = 0.000
- raw formation energy (meV/atom) = 44



# 15
The following is a PBE calculation of crystalline NiPtSe at its relaxed geometry, from Alexandria.

```
NiPtSe
1.0
-3.7879 -0.0406 3.0986
-3.4221 -2.9810 1.8314
0.9817 -1.1111 2.8615
Se Ni Pt
1 1 1
Direct
0.6348 0.6348 0.3652 Se
0.0234 0.0234 0.9766 Ni
0.3418 0.3418 0.6582 Pt
```

- relative energy among the computed polymorphs (eV per atom) = 0.030
- raw formation energy (meV/atom) = 74



# 16
The following is a PBE calculation of crystalline NiPtSe at its relaxed geometry, from Alexandria.

```
NiPtSe
1.0
-1.5100 -0.6171 -3.8767
2.6444 -0.5568 -3.2229
0.3401 -3.7802 -1.8123
Ni Pt Se
1 1 1
Direct
0.5000 0.5000 0.5000 Ni
0.7500 0.7500 0.7500 Pt
0.0000 0.0000 0.0000 Se
```

- relative energy among the computed polymorphs (eV per atom) = 0.128
- raw formation energy (meV/atom) = 171



# 17
The following is a PBE calculation of crystalline Ni2PtSe at its relaxed geometry, from Alexandria.

```
Ni2PtSe
1.0
-3.1029 1.2410 -1.4392
-2.4550 -1.4200 -2.2794
-4.0493 -2.2642 4.0486
Pt Se Ni
1 1 2
Direct
0.2500 0.2500 0.2500 Pt
0.7500 0.7500 0.7500 Se
0.4956 0.4956 0.5209 Ni
0.0044 0.0044 0.9791 Ni
```

- raw formation energy (meV/atom) = 91



# 18
The following is a PBE calculation of crystalline Ni2PtSe at its relaxed geometry, from Alexandria.

```
Ni2PtSe
1.0
-2.8192 -1.0961 -1.0027
0.9864 -3.2243 0.7512
-1.1683 -1.8129 5.2664
Ni Se Pt
2 1 1
Direct
0.0000 0.9429 0.9947 Ni
0.0000 0.5571 0.5053 Ni
0.5000 0.7500 0.7500 Se
0.5000 0.2500 0.2500 Pt
```

- raw formation energy (meV/atom) = 66



# 19
The following is a PBE calculation of crystalline Ni2PtSe at its relaxed geometry, from Alexandria.

```
Ni2PtSe
1.0
-1.4811 -0.9514 -7.5400
1.4229 -0.6498 -7.5831
0.2340 -3.2568 -7.0206
Ni Pt Se
2 1 1
Direct
0.4931 0.4931 0.4931 Ni
0.0069 0.0069 0.0069 Ni
0.2500 0.2500 0.2500 Pt
0.7500 0.7500 0.7500 Se
```

- raw formation energy (meV/atom) = 59



# 20
The following is a PBE calculation of crystalline Ni2PtSe at its relaxed geometry, from Alexandria.

```
Ni2PtSe
1.0
4.7523 -0.0554 -0.0288
1.7124 4.4334 0.0288
-2.8203 -2.7975 2.6093
Pt Ni Se
1 2 1
Direct
0.7500 0.2500 0.5000 Pt
0.4714 0.4714 0.0000 Ni
0.0286 0.0286 0.0000 Ni
0.2500 0.7500 0.5000 Se
```

- raw formation energy (meV/atom) = 118



# 21
The following is a PBE calculation of crystalline Ni2PtSe at its relaxed geometry, from Alexandria.

```
Ni2PtSe
1.0
-1.0209 4.1425 -0.3467
-4.0613 1.1513 -0.7092
-2.2532 1.9153 3.0947
Ni Pt Se
2 1 1
Direct
0.7500 0.7500 0.7500 Ni
0.0000 0.0000 0.0000 Ni
0.5000 0.5000 0.5000 Pt
0.2500 0.2500 0.2500 Se
```

- raw formation energy (meV/atom) = 190



# 22
The following is a PBE calculation of crystalline Ni2PtSe at its relaxed geometry, from Alexandria.

```
Ni2PtSe
1.0
4.4676 0.0000 0.0000
0.0000 4.4676 0.0000
0.0000 0.0000 2.7767
Ni Pt Se
2 1 1
Direct
0.0000 0.0000 0.0000 Ni
0.5000 0.5000 0.0000 Ni
0.5000 0.0000 0.5000 Pt
0.0000 0.5000 0.5000 Se
```

- raw formation energy (meV/atom) = 102



# 23
The following is a PBE calculation of crystalline Ni2PtSe at its relaxed geometry, from Alexandria.

```
Ni2PtSe
1.0
-3.9197 -1.1444 2.4060
-0.5810 -4.6909 0.3472
3.6346 2.9129 0.8762
Ni Se Pt
2 1 1
Direct
0.0000 0.0000 0.0000 Ni
0.2500 0.7500 0.5000 Ni
0.7500 0.2500 0.5000 Se
0.5000 0.5000 0.0000 Pt
```

- raw formation energy (meV/atom) = 139



# 24
The following is a PBE calculation of crystalline NiPt3Se8 at its relaxed geometry, from Alexandria.

```
NiPt3Se8
1.0
-4.8143 0.9192 -5.5666
2.6198 -6.7614 1.5588
-4.9623 3.3280 4.8412
Pt Se Ni
3 8 1
Direct
0.5000 0.5000 0.0000 Pt
0.5000 0.0000 0.0000 Pt
0.0000 0.5000 0.0000 Pt
0.2526 0.0239 0.7985 Se
0.7714 0.5427 0.7986 Se
0.7380 0.4759 0.2104 Se
0.2620 0.5241 0.7896 Se
0.2287 0.9761 0.2015 Se
0.7474 0.9761 0.2015 Se
0.7713 0.0239 0.7985 Se
0.2286 0.4573 0.2014 Se
0.0000 0.0000 0.0000 Ni
```

- raw formation energy (meV/atom) = -349



# 25
The following is a PBE calculation of crystalline Ni5PtSe8 at its relaxed geometry, from Alexandria.

```
Ni5PtSe8
1.0
-5.8136 3.7224 1.8865
-6.0514 -3.4273 1.6875
-2.2756 -0.1131 6.7840
Se Ni Pt
8 5 1
Direct
0.8337 0.3888 0.3888 Se
0.3888 0.8337 0.3888 Se
0.8662 0.8662 0.4013 Se
0.3888 0.3888 0.3888 Se
0.8662 0.4013 0.8662 Se
0.4013 0.8662 0.8662 Se
0.3888 0.3888 0.8337 Se
0.8662 0.8662 0.8662 Se
0.6262 0.1215 0.6262 Ni
0.6262 0.6262 0.6262 Ni
0.6262 0.6262 0.1215 Ni
0.0000 0.0000 0.0000 Ni
0.1215 0.6262 0.6262 Ni
0.2500 0.2500 0.2500 Pt
```

- raw formation energy (meV/atom) = -290



# 26
The following is a PBE calculation of crystalline Ni2PtSe at its relaxed geometry, from Alexandria.

```
Ni2PtSe
1.0
2.9428 -0.0023 0.0000
0.0031 2.9428 0.0000
0.0000 0.0000 6.2857
Ni Pt Se
2 1 1
Direct
0.0000 0.0000 0.9788 Ni
0.0000 0.0000 0.5212 Ni
0.5000 0.5000 0.2500 Pt
0.5000 0.5000 0.7500 Se
```

- raw formation energy (meV/atom) = 41